No. 1
DFT (PBE) results for a geometry-optimized Ga2AsRuO structure.

Unit cell a=4.9266 b=4.9266 c=4.6322 alpha=90.00 beta=90.00 gamma=90.00
Fractional coordinates of all 5 atoms:
Ga: 0.0000 0.5000 0.0000
Ga: 0.5000 0.0000 0.0000
As: 0.0000 0.0000 0.0000
Ru: 0.0000 0.0000 0.5000
O: 0.5000 0.5000 0.5000

Output
raw total energy = -20.0 eV/cell
DOS(E_F) = 0.78 states/eV/atom
formation energy from raw total energies = 0.995 eV per atom
mass density = 4.90 g cm⁻³

---

No. 2
DFT (PBE) results for a geometry-optimized Be2P structure.

Unit cell a=3.4607 b=3.4607 c=7.0330 alpha=97.27 beta=97.27 gamma=116.08
Fractional coordinates of all 6 atoms:
Be: 0.0000 0.0000 0.0000
Be: 0.1564 0.0114 0.6722
Be: 0.7355 0.2645 0.5000
Be: 0.9886 0.8436 0.3278
P: 0.6048 0.1517 0.1991
P: 0.8483 0.3952 0.8009

Output
offset from the most stable computed form = 0.0298 eV per atom
raw total energy = -26.4 eV/cell
DOS(E_F) = 0.10 states/eV/atom
mass density = 2.22 g cm⁻³

---

No. 3
DFT (PBE) results for a geometry-optimized BeMoSe2Br structure.

Unit cell a=4.8875 b=4.8875 c=5.3247 alpha=90.00 beta=90.00 gamma=90.00
Fractional coordinates of all 5 atoms:
Be: 0.0000 0.0000 0.0000
Mo: 0.5000 0.5000 0.5000
Se: 0.0000 0.5000 0.5000
Se: 0.5000 0.0000 0.5000
Br: 0.5000 0.5000 0.0000

Output
offset from the most stable computed form = 0.0289 eV per atom
raw total energy = -20.2 eV/cell
DOS(E_F) = 1.08 states/eV/atom
formation energy from raw total energies = 0.610 eV per atom
mass density = 4.48 g cm⁻³

---

No. 4
DFT (PBE) results for a geometry-optimized LaSbH6Rh3 structure.

Unit cell a=5.0330 b=5.0330 c=5.0330 alpha=93.23 beta=93.23 gamma=93.23
Fractional coordinates of all 11 atoms:
La: 0.0000 0.0000 0.0000
Sb: 0.5957 0.5957 0.5957
H: 0.0829 0.4943 0.2312
H: 0.0899 0.4737 0.8946
H: 0.2312 0.0829 0.4943
H: 0.4737 0.8946 0.0899
H: 0.4943 0.2312 0.0829
H: 0.8946 0.0899 0.4737
Rh: 0.0855 0.3955 0.5568
Rh: 0.3955 0.5568 0.0855
Rh: 0.5568 0.0855 0.3955

Output
raw total energy = -55.4 eV/cell
DOS(E_F) = 0.27 states/eV/atom
mass density = 7.53 g cm⁻³